[1]
# KNaFeBr2 | the Alexandria database | PBE-GGA | optimized geometry
data_KNaFeBr2
_chemical_formula_sum 'K1 Na1 Fe1 Br2'
_cell_length_a 5.685
_cell_length_b 5.685
_cell_length_c 5.472
_cell_angle_alpha 90.00
_cell_angle_beta 90.00
_cell_angle_gamma 90.00
_symmetry_space_group_name_H-M 'P 4/m m m'
_symmetry_Int_Tables_number 123
_symmetry_space_group_name_Hall '-P 4 2'
loop_
_atom_site_label
_atom_site_type_symbol
_atom_site_fract_x
_atom_site_fract_y
_atom_site_fract_z
K1 K 0.000 0.000 0.000
Na1 Na 0.500 0.500 0.500
Fe1 Fe 0.500 0.500 0.000
Br1 Br 0.000 0.500 0.500
# - uncorrected formation energy (meV per atom) = -196
# - crystal system = tetragonal



[2]
# K2FeNiBr | the Alexandria database | PBE-GGA | optimized geometry
data_K2FeNiBr
_chemical_formula_sum 'K2 Fe1 Ni1 Br1'
_cell_length_a 6.350
_cell_length_b 6.350
_cell_length_c 4.434
_cell_angle_alpha 90.00
_cell_angle_beta 90.00
_cell_angle_gamma 90.00
_symmetry_space_group_name_H-M 'P 4/m m m'
_symmetry_Int_Tables_number 123
_symmetry_space_group_name_Hall '-P 4 2'
loop_
_atom_site_label
_atom_site_type_symbol
_atom_site_fract_x
_atom_site_fract_y
_atom_site_fract_z
K1 K 0.000 0.500 0.000
Fe1 Fe 0.000 0.000 0.500
Ni1 Ni 0.500 0.500 0.500
Br1 Br 0.500 0.500 0.000
# - uncorrected formation energy (meV per atom) = 522
# - crystal system = tetragonal



> Which value of uncorrected formation energy does entry 1 give?

-196 meV per atom